(1)
A plane-wave DFT calculation with GGA-PBE was carried out for an optimized crystal structure of Tb2Nd6In3.

Properties
- Energy of formation: 0.185 eV/atom

Unit cell a=5.477 b=5.477 c=12.951 alpha=102.21 beta=102.21 gamma=90.00
Element x y z (fractional)
In 0.174 0.174 0.347
Tb 0.558 0.558 0.116
Nd 0.901 0.401 0.802
In 0.000 0.000 0.000
In 0.826 0.826 0.653
Nd 0.099 0.599 0.198
Nd 0.698 0.698 0.396
Nd 0.599 0.099 0.198
Nd 0.401 0.901 0.802
Tb 0.442 0.442 0.884
Nd 0.302 0.302 0.604

---

(2)
A plane-wave DFT calculation with GGA-PBE was carried out for an optimized crystal structure of Li2CuBPd.

Properties
- Energy of formation: 1.022 eV/atom

Unit cell a=4.174 b=4.685 c=4.174 alpha=90.00 beta=90.00 gamma=90.00
Element x y z (fractional)
Li 0.500 0.000 0.000
B 0.500 0.500 0.500
Li 0.000 0.000 0.500
Pd 0.000 0.500 0.000
Cu 0.000 0.000 0.000

---

(3)
A plane-wave DFT calculation with GGA-PBE was carried out for an optimized crystal structure of Gd2VCd.

Properties
- Polymorph energy (0 for the lowest one): 0.0 kJ/mol of atoms
- Energy of formation: 0.030 eV/atom

Unit cell a=3.629 b=3.629 c=7.679 alpha=90.00 beta=90.00 gamma=90.00
Last column: magnetic moment on the atom in μB.
Element x y z (fractional)
Cd 0.500 0.500 0.500  0.01
V 0.500 0.500 0.000  2.37
Gd 0.000 0.000 0.228  -6.93
Gd 0.000 0.000 0.772  -6.93

---

(4)
A plane-wave DFT calculation with GGA-PBE was carried out for an optimized crystal structure of La2NdUAs4.

Properties
- Energy of formation: -1.333 eV/atom

Unit cell a=4.255 b=7.393 c=7.417 alpha=109.18 beta=90.00 gamma=90.00
Last column: magnetic moment on the atom in μB.
Element x y z (fractional)
As 0.000 0.738 0.234  -0.04
La 0.000 0.500 0.500  0.01
As 0.500 0.256 0.238  -0.03
U 0.500 0.500 0.000  2.17
Nd 0.000 0.000 0.000  0.01
As 0.500 0.744 0.762  -0.03
As 0.000 0.262 0.766  -0.04
La 0.500 0.000 0.500  0.02

---

(5)
A plane-wave DFT calculation with GGA-PBE was carried out for an optimized crystal structure of CoAgIr.

Properties
- Polymorph energy (0 for the lowest one): 4.4 kJ/mol of atoms
- Energy of formation: 0.286 eV/atom

Unit cell a=6.105 b=6.105 c=6.105 alpha=154.01 beta=154.01 gamma=37.08
Last column: magnetic moment on the atom in μB.
Element x y z (fractional)
Ag 0.994 0.994 0.000  0.01
Co 0.321 0.321 0.000  1.58
Ir 0.684 0.684 0.000  0.38

---

(6)
A plane-wave DFT calculation with GGA-PBE was carried out for an optimized crystal structure of BaH3Rh.

Properties
- Total energy: -36.64 eV/cell

Unit cell a=3.708 b=3.708 c=10.941 alpha=90.00 beta=90.00 gamma=120.00
Element x y z (fractional)
Rh 0.000 0.000 0.000
H 0.000 0.000 0.250
Ba 0.333 0.667 0.750
H 0.000 0.000 0.750
H 0.333 0.667 0.484
Ba 0.667 0.333 0.250
H 0.667 0.333 0.984
Rh 0.000 0.000 0.500
H 0.333 0.667 0.016
H 0.667 0.333 0.516

---

| no. | calculated volume (Å³/atom) |
| --- | --- |
| 1 | 33.7 |
| 2 | 16.3 |
| 3 | 25.3 |
| 4 | 27.5 |
| 5 | 14.5 |
| 6 | 13.0 |